{"formula": "TcHgAu", "functional": "PBE", "state": "relaxed", "cell": [[-2.2902, -1.7837, -0.3000], [1.6000, 0.7250, -2.3304], [4.2764, -5.6872, 1.1668]], "species": ["Au", "Hg", "Tc"], "frac_coords": [[0.0000, 0.0000, 0.9850], [0.6667, 0.3333, 0.3411], [0.3333, 0.6667, 0.6739]], "total_magnetization_mub_per_cell": 0.000, "mass_density_g_cm3": 15.47, "e_form_mev_per_atom": 464, "e_above_lowest_polymorph_mev_per_atom": 0}